Density functional theory data (PBE) for a geometry-optimized Bi2AuO structure.

Structure (extended XYZ):
```
8
Lattice="-2.723 2.723 6.998 2.723 -2.723 6.998 2.723 2.723 -6.998" Properties=species:S:1:pos:R:3 pbc="T T T"
Bi 4.085 0.904 -1.749
Bi 0.904 1.362 1.749
Bi -1.362 1.820 5.248
Bi 1.820 1.362 8.747
Au 2.723 0.000 3.499
Au 0.000 0.000 6.998
O 0.000 0.000 0.000
O 0.000 2.723 3.499
```

Results
Crystal system = tetragonal
Calculated volume = 26.0 A^3/atom
D(E_F) = 2.2 states/eV/f.u.
SG = I-42d (122)
Formation energy from raw total energies = -245 meV per atom